No. 1
First-principles (GGA-PBE) data for a relaxed structure of SrTa2As, as listed in Alexandria via LeMat-Bulk.

Cell and atoms, written as CIF:
```
data_SrTa2As
_chemical_formula_sum 'Sr1 Ta2 As1'
_symmetry_space_group_name_H-M 'P 1'
_symmetry_Int_Tables_number 1
_cell_length_a 5.849
_cell_length_b 5.849
_cell_length_c 5.849
_cell_angle_alpha 138.43
_cell_angle_beta 138.43
_cell_angle_gamma 60.25
loop_
_symmetry_equiv_pos_as_xyz
'x,y,z'
loop_
_atom_site_label
_atom_site_fract_x
_atom_site_fract_y
_atom_site_fract_z
Sr1 0.750 0.250 0.500
As1 0.250 0.750 0.500
Ta1 0.000 0.000 0.000
Ta2 0.500 0.500 0.000
```

No. 2
First-principles (GGA-PBE) data for a relaxed structure of SrTa2As, as listed in Alexandria via LeMat-Bulk.

Cell and atoms, written as CIF:
```
data_SrTa2As
_chemical_formula_sum 'Sr1 Ta2 As1'
_symmetry_space_group_name_H-M 'P 1'
_symmetry_Int_Tables_number 1
_cell_length_a 3.480
_cell_length_b 3.480
_cell_length_c 7.433
_cell_angle_alpha 90.00
_cell_angle_beta 90.00
_cell_angle_gamma 90.00
loop_
_symmetry_equiv_pos_as_xyz
'x,y,z'
loop_
_atom_site_label
_atom_site_fract_x
_atom_site_fract_y
_atom_site_fract_z
Sr1 0.500 0.500 0.750
As1 0.500 0.500 0.250
Ta1 0.000 0.000 0.082
Ta2 0.000 0.000 0.418
```

No. 3
First-principles (GGA-PBE) data for a relaxed structure of SrTaAs2, as listed in Alexandria via LeMat-Bulk.

Cell and atoms, written as CIF:
```
data_SrTaAs2
_chemical_formula_sum 'Sr1 Ta1 As2'
_symmetry_space_group_name_H-M 'P 1'
_symmetry_Int_Tables_number 1
_cell_length_a 4.825
_cell_length_b 3.849
_cell_length_c 6.086
_cell_angle_alpha 71.54
_cell_angle_beta 90.00
_cell_angle_gamma 90.00
loop_
_symmetry_equiv_pos_as_xyz
'x,y,z'
loop_
_atom_site_label
_atom_site_fract_x
_atom_site_fract_y
_atom_site_fract_z
Sr1 0.000 0.595 0.435
As1 0.000 0.884 0.855
As2 0.500 0.187 0.250
Ta1 0.500 0.833 0.959
```

For the energy above the most stable polymorph in this dataset, the calculation gives 0.288 eV/atom.

No. 4
First-principles (GGA-PBE) data for a relaxed structure of Sr2TaAs, as listed in Alexandria via LeMat-Bulk.

Cell and atoms, written as CIF:
```
data_Sr2TaAs
_chemical_formula_sum 'Sr2 Ta1 As1'
_symmetry_space_group_name_H-M 'P 1'
_symmetry_Int_Tables_number 1
_cell_length_a 4.396
_cell_length_b 5.080
_cell_length_c 5.080
_cell_angle_alpha 90.00
_cell_angle_beta 90.00
_cell_angle_gamma 90.00
loop_
_symmetry_equiv_pos_as_xyz
'x,y,z'
loop_
_atom_site_label
_atom_site_fract_x
_atom_site_fract_y
_atom_site_fract_z
Sr1 0.000 0.000 0.000
Sr2 0.000 0.500 0.500
As1 0.500 0.000 0.500
Ta1 0.500 0.500 0.000
```

No. 5
First-principles (GGA-PBE) data for a relaxed structure of Sr2TaAs, as listed in Alexandria via LeMat-Bulk.

Cell and atoms, written as CIF:
```
data_Sr2TaAs
_chemical_formula_sum 'Sr4 Ta2 As2'
_symmetry_space_group_name_H-M 'P 1'
_symmetry_Int_Tables_number 1
_cell_length_a 11.365
_cell_length_b 11.365
_cell_length_c 8.411
_cell_angle_alpha 47.50
_cell_angle_beta 47.50
_cell_angle_gamma 90.00
loop_
_symmetry_equiv_pos_as_xyz
'x,y,z'
loop_
_atom_site_label
_atom_site_fract_x
_atom_site_fract_y
_atom_site_fract_z
Sr1 0.469 0.125 0.250
Sr2 0.281 0.625 0.250
Sr3 0.375 0.531 0.750
Sr4 0.875 0.719 0.750
As1 0.500 0.500 0.000
As2 0.250 0.750 0.500
Ta1 0.000 0.000 0.000
Ta2 0.750 0.250 0.500
```

No. 6
First-principles (GGA-PBE) data for a relaxed structure of SrTa2As, as listed in Alexandria via LeMat-Bulk.

Cell and atoms, written as CIF:
```
data_SrTa2As
_chemical_formula_sum 'Sr1 Ta2 As1'
_symmetry_space_group_name_H-M 'P 1'
_symmetry_Int_Tables_number 1
_cell_length_a 3.172
_cell_length_b 3.172
_cell_length_c 8.970
_cell_angle_alpha 90.00
_cell_angle_beta 90.00
_cell_angle_gamma 103.83
loop_
_symmetry_equiv_pos_as_xyz
'x,y,z'
loop_
_atom_site_label
_atom_site_fract_x
_atom_site_fract_y
_atom_site_fract_z
Sr1 0.500 0.500 0.732
As1 0.000 0.000 0.460
Ta1 0.000 0.000 0.044
Ta2 0.500 0.500 0.264
```

No. 7
First-principles (GGA-PBE) data for a relaxed structure of SrTa2As, as listed in Alexandria via LeMat-Bulk.

Cell and atoms, written as CIF:
```
data_SrTa2As
_chemical_formula_sum 'Sr1 Ta2 As1'
_symmetry_space_group_name_H-M 'P 1'
_symmetry_Int_Tables_number 1
_cell_length_a 4.204
_cell_length_b 3.565
_cell_length_c 6.718
_cell_angle_alpha 74.65
_cell_angle_beta 90.00
_cell_angle_gamma 90.00
loop_
_symmetry_equiv_pos_as_xyz
'x,y,z'
loop_
_atom_site_label
_atom_site_fract_x
_atom_site_fract_y
_atom_site_fract_z
Sr1 0.500 0.720 0.687
As1 0.000 0.332 0.461
Ta1 0.000 0.986 0.152
Ta2 0.500 0.462 0.200
```

No. 8
First-principles (GGA-PBE) data for a relaxed structure of SrTaAs2, as listed in Alexandria via LeMat-Bulk.

Cell and atoms, written as CIF:
```
data_SrTaAs2
_chemical_formula_sum 'Sr1 Ta1 As2'
_symmetry_space_group_name_H-M 'P 1'
_symmetry_Int_Tables_number 1
_cell_length_a 3.357
_cell_length_b 3.355
_cell_length_c 7.441
_cell_angle_alpha 90.00
_cell_angle_beta 90.00
_cell_angle_gamma 90.00
loop_
_symmetry_equiv_pos_as_xyz
'x,y,z'
loop_
_atom_site_label
_atom_site_fract_x
_atom_site_fract_y
_atom_site_fract_z
Sr1 0.500 0.500 0.250
As1 0.000 0.000 0.951
As2 0.000 0.000 0.549
Ta1 0.500 0.500 0.750
```

For the energy above the most stable polymorph in this dataset, the calculation gives 0.186 eV/atom.

Number 1: formation enthalpy at 0 K 60 kJ/mol of atoms, N(E_F) 4.61 states/eV/f.u.. Number 2: formation enthalpy at 0 K 33 kJ/mol of atoms, N(E_F) 3.35 states/eV/f.u.. Number 3: formation enthalpy at 0 K -38 kJ/mol of atoms, N(E_F) 3.68 states/eV/f.u.. Number 4: formation enthalpy at 0 K 41 kJ/mol of atoms, N(E_F) 1.94 states/eV/f.u.. Number 5: formation enthalpy at 0 K 29 kJ/mol of atoms, N(E_F) 4.03 states/eV/f.u.. Number 6: formation enthalpy at 0 K 14 kJ/mol of atoms, N(E_F) 1.99 states/eV/f.u.. Number 7: formation enthalpy at 0 K -2 kJ/mol of atoms, N(E_F) 2.48 states/eV/f.u.. Number 8: formation enthalpy at 0 K -48 kJ/mol of atoms, N(E_F) 3.58 states/eV/f.u..